1.
12
Lattice="4.277 0.000 0.000 -2.139 3.704 0.000 0.000 0.000 24.598" Properties=species:S:1:pos:R:3 comment="InSnSI GGA-PBE relaxed" total_energy_ev_per_atom=-3.473 spacegroup="No. 160" dos_at_fermi_per_ev_cell=0.1 pbc="T T T"
In 0.000 0.000 0.000
In 0.000 2.469 16.398
In 2.139 1.235 8.199
Sn 0.000 0.000 4.892
Sn 0.000 2.469 21.291
Sn 2.139 1.235 13.092
S 0.000 0.000 14.540
S 0.000 2.469 6.340
S 2.139 1.235 22.739
I 0.000 0.000 19.077
I 0.000 2.469 10.877
I 2.139 1.235 2.678

***

2.
12
Lattice="-1.891 3.666 5.679 1.891 -3.666 5.679 1.891 3.666 -5.679" Properties=species:S:1:pos:R:3 comment="Cr5CoRh6 GGA-PBE relaxed" e_form_ev_per_atom=-0.06 spacegroup="No. 71" dos_at_fermi_per_ev_cell=13.6 pbc="T T T"
Cr 0.000 0.000 0.000
Cr 1.891 0.000 1.849
Cr 0.000 0.000 3.770
Cr 0.000 0.000 7.588
Cr 0.000 3.666 3.830
Co 0.000 3.666 0.000
Rh 1.891 -1.817 3.786
Rh 1.891 1.855 0.000
Rh 0.000 1.849 1.893
Rh 1.891 1.817 3.786
Rh 0.000 1.811 5.679
Rh 0.000 5.483 1.893

***

3.
4
Lattice="3.920 0.000 0.000 0.000 3.920 0.000 0.000 0.000 3.696" Properties=species:S:1:pos:R:3 comment="Fe2AgIr GGA-PBE relaxed" e_form_ev_per_atom=0.27 spacegroup="No. 123" dos_at_fermi_per_ev_cell=3.6 pbc="T T T"
Fe 0.000 1.960 0.000
Fe 1.960 0.000 0.000
Ag 0.000 0.000 1.848
Ir 1.960 1.960 1.848